Compound: Ni4AgF8
Source: Alexandria via LeMat-Bulk
Functional: PBE+U
Structure: relaxed

Lattice parameters (Å, degrees): 9.0490 9.0490 9.0490 90.00 90.00 90.00
Space group F-43m (No. 216)
Unique sites:
Ni  0.1225  0.1225  0.1225 (multiplicity 16)
Ag  0.0000  0.0000  0.5000 (multiplicity 4)
F  0.1050  0.1050  0.8950 (multiplicity 16)
F  0.1488  0.1488  0.3512 (multiplicity 16)

Output
* DOS(E_F): 11.6 states/eV per cell
* calculated density: 4.43 g/cm3
* uncorrected energy: -3.8800 eV/atom